DFT (GGA-PBE) results for an optimized crystal structure of Tb3Pr6Sm2In.

- DOS at the Fermi energy: 14.18 states/eV per cell
- DFT total energy: -55.3 eV for the cell shown
- V: 400 Å³/cell
- Total magnetic moment: 0.000 μB per atom
- Space group: No. 12
- Energy relative to the elements: -44 meV/atom

Cell lengths 6.2703, 6.2703, 11.9593 Å; angles 95.06, 95.06, 120.16 degrees
With the nearest neighbours (Å) after each atom.
Fractional positions:
Tb  0.1677  0.8323  0.5000  6 Pr 3.60-3.64, 6 Tb 3.60-3.65
Tb  0.8323  0.1677  0.5000  6 Pr 3.60-3.64, 6 Tb 3.60-3.65
Tb  0.5000  0.5000  0.5000  6 Pr 3.61-3.64, 6 Tb 3.61-3.62
Pr  0.9172  0.5911  0.7511  6 Pr 3.53-3.66, 1 In 3.57, 3 Tb 3.61-3.64, 2 Sm 3.61
Pr  0.7574  0.7574  0.2502  6 Pr 3.53-3.66, 1 In 3.59, 3 Tb 3.60-3.64, 2 Sm 3.62
Pr  0.0828  0.4089  0.2489  6 Pr 3.53-3.66, 1 In 3.57, 3 Tb 3.61-3.64, 2 Sm 3.61
Pr  0.5911  0.9172  0.7511  6 Pr 3.53-3.66, 1 In 3.57, 3 Tb 3.61-3.64, 2 Sm 3.61
Pr  0.2426  0.2426  0.7498  6 Pr 3.53-3.66, 1 In 3.59, 3 Tb 3.60-3.64, 2 Sm 3.62
Pr  0.4089  0.0828  0.2489  6 Pr 3.53-3.66, 1 In 3.57, 3 Tb 3.61-3.64, 2 Sm 3.61
Sm  0.3337  0.6663  0.0000  3 In 3.61-3.63, 6 Pr 3.61-3.62, 3 Sm 3.61-3.62
Sm  0.6663  0.3337  0.0000  3 In 3.61-3.63, 6 Pr 3.61-3.62, 3 Sm 3.61-3.62
In  0.0000  0.0000  0.0000  6 Pr 3.57-3.59, 6 Sm 3.61-3.63